Compound: KCaZn2
Source: the Alexandria database
Functional: PBE
Structure: relaxed

E = -1.262 eV/atom
formation energy = 0.15 eV per atom
space group = R-3m

Cell: 9.183 9.183 9.183 Å, 26.36 26.36 26.36°
Sites, in units of the cell vectors:
1 K 0.000 0.000 0.000
2 Ca 0.500 0.500 0.500
3 Zn 0.239 0.239 0.239
4 Zn 0.761 0.761 0.761

Compound: KCa2Zn
Source: the Alexandria database
Functional: PBE
Structure: relaxed

E = -1.520 eV/atom
formation energy = 0.07 eV per atom
space group = C2/m

Cell: 7.336 7.336 6.503 Å, 115.96 115.96 30.24°
Sites, in units of the cell vectors:
1 K 0.000 0.000 0.000
2 Ca 0.197 0.197 0.697
3 Ca 0.803 0.803 0.303
4 Zn 0.500 0.500 0.500

Compound: KCaZn2
Source: the Alexandria database
Functional: PBE
Structure: relaxed

E = -1.412 eV/atom
formation energy = 0.00 eV per atom
space group = Pm

Cell: 4.371 4.568 6.677 Å, 90.00 109.05 90.00°
Sites, in units of the cell vectors:
1 K 0.000 0.000 0.000
2 Ca 0.289 0.500 0.577
3 Zn 0.618 0.500 0.236
4 Zn 0.717 0.000 0.434

Look up the E of the second one. -1.520 eV/atom

Which value of E does entry 3 give? -1.412 eV/atom

formation energy of number 3 (KCaZn2)? 0.00 eV per atom